Entry 1:
Density functional theory data (PBE) for NpUBi6 after structural relaxation.

Properties
VASP energy   -5.90 eV per atom

Cell and atoms, written as extended XYZ:
```
8
Lattice="4.882 0.000 0.000 0.000 4.882 0.000 0.000 0.000 9.956" Properties=species:S:1:pos:R:3 pbc="T T T"
Np 0.000 0.000 0.000
U 0.000 0.000 4.978
Bi 0.000 2.441 2.489
Bi 0.000 2.441 7.467
Bi 2.441 0.000 2.489
Bi 2.441 0.000 7.467
Bi 2.441 2.441 0.000
Bi 2.441 2.441 4.978
```

=====

Entry 2:
Density functional theory data (PBE) for Tb8NdTh6 after structural relaxation.

Properties
VASP energy   -5.59 eV per atom

Cell and atoms, written as extended XYZ:
```
15
Lattice="4.436 2.561 7.135 -4.436 2.561 7.135 0.000 -5.122 7.135" Properties=species:S:1:pos:R:3 pbc="T T T"
Tb 0.000 0.000 1.725
Tb -1.999 0.462 7.844
Tb 0.599 -1.963 7.844
Tb -1.400 -1.500 13.560
Tb 1.400 1.500 7.844
Tb -0.599 1.963 13.560
Tb 1.999 -0.462 13.560
Tb 0.000 0.000 19.679
Nd 0.000 0.000 10.702
Th -2.387 -2.383 9.802
Th -3.257 0.875 11.603
Th 0.871 -3.258 11.603
Th -0.871 3.258 9.802
Th 3.257 -0.875 9.802
Th 2.387 2.383 11.603
```

=====

Entry 3:
Density functional theory data (PBE) for NaInBr2 after structural relaxation.

Properties
Formation energy (no corrections)   -1.0292 eV per atom

Cell and atoms, written as extended XYZ:
```
4
Lattice="4.234 0.000 0.000 0.000 2.000 8.139 0.000 -2.000 8.139" Properties=species:S:1:pos:R:3 pbc="T T T"
Na 0.000 0.000 0.000
In 2.117 0.000 3.995
Br 0.000 0.000 10.695
Br 2.117 0.000 7.270
```

=====

Entry 4:
Density functional theory data (PBE) for In2AgSCl after structural relaxation.

Properties
Formation energy (no corrections)   -0.1757 eV per atom

Cell and atoms, written as extended XYZ:
```
5
Lattice="6.028 0.000 0.000 0.000 6.028 0.000 0.000 0.000 4.664" Properties=species:S:1:pos:R:3 pbc="T T T"
In 0.000 3.014 0.000
In 3.014 0.000 0.000
Ag 0.000 0.000 2.332
S 0.000 0.000 0.000
Cl 3.014 3.014 2.332
```